[1]
An optimized crystal structure of Sm3TmS6, computed with PBE.

Summary:
* symmetry: P2_1/m
* E_form (uncorrected): -20.2 eV per formula unit
* distance to the lowest polymorph of the same formula: 48 meV per atom

a b c (Å): 4.010 11.159 11.472
angles (deg): 108.23 90.00 90.00
Sites, in units of the cell vectors:
Sm: 0.750 0.424 0.830
Sm: 0.250 0.576 0.170
Sm: 0.750 0.683 0.506
Sm: 0.250 0.317 0.494
Sm: 0.750 0.161 0.082
Sm: 0.250 0.839 0.918
Tm: 0.750 0.040 0.684
Tm: 0.250 0.960 0.316
S: 0.750 0.477 0.614
S: 0.250 0.523 0.386
S: 0.750 0.917 0.101
S: 0.250 0.083 0.899
S: 0.750 0.404 0.069
S: 0.250 0.596 0.931
S: 0.750 0.755 0.282
S: 0.250 0.245 0.718
S: 0.750 0.105 0.461
S: 0.250 0.895 0.539
S: 0.750 0.817 0.750
S: 0.250 0.183 0.250

---

[2]
An optimized crystal structure of SmTmS2, computed with PBE.

Summary:
* symmetry: R3m
* density of states at the Fermi level: 1.0 states/eV per cell
* E_form (uncorrected): -7.7 eV per formula unit
* distance to the lowest polymorph of the same formula: 67 meV per atom

a b c (Å): 3.823 3.823 7.216
angles (deg): 74.64 74.64 60.00
Sites, in units of the cell vectors:
Sm: 0.672 0.672 0.983
Tm: 0.494 0.494 0.517
S: 0.086 0.086 0.741
S: 0.247 0.247 0.259

---

[3]
An optimized crystal structure of SmTmS2, computed with PBE.

Summary:
* symmetry: R-3m
* density of states at the Fermi level: 1.1 states/eV per cell
* E_form (uncorrected): -8.0 eV per formula unit
* distance to the lowest polymorph of the same formula: 0 meV per atom

a b c (Å): 6.907 6.907 6.907
angles (deg): 32.70 32.70 32.70
Sites, in units of the cell vectors:
S: 0.245 0.245 0.245
S: 0.755 0.755 0.755
Tm: 0.500 0.500 0.500
Sm: 0.000 0.000 0.000

---

[4]
An optimized crystal structure of SmTm3S4, computed with PBE.

Summary:
* symmetry: Cmmm
* density of states at the Fermi level: 4.6 states/eV per cell
* E_form (uncorrected): -15.6 eV per formula unit
* distance to the lowest polymorph of the same formula: 0 meV per atom

a b c (Å): 3.840 6.756 6.756
angles (deg): 108.89 90.00 90.00
Sites, in units of the cell vectors:
S: 0.000 0.261 0.261
S: 0.500 0.745 0.255
S: 0.000 0.739 0.739
S: 0.500 0.255 0.745
Tm: 0.000 0.000 0.500
Tm: 0.500 0.500 0.500
Tm: 0.000 0.500 0.000
Sm: 0.500 0.000 0.000

---

[5]
An optimized crystal structure of Sm2TmS4, computed with PBE.

Summary:
* symmetry: C2/m
* density of states at the Fermi level: 2.4 states/eV per cell
* E_form (uncorrected): -13.9 eV per formula unit
* distance to the lowest polymorph of the same formula: 39 meV per atom

a b c (Å): 3.990 7.105 7.676
angles (deg): 120.66 105.06 90.00
Sites, in units of the cell vectors:
Sm: 0.720 0.727 0.440
Sm: 0.280 0.273 0.560
Tm: 0.000 0.000 0.000
S: 0.881 0.185 0.763
S: 0.119 0.815 0.237
S: 0.636 0.265 0.273
S: 0.364 0.735 0.727

---

[6]
An optimized crystal structure of Sm3Tm4S8, computed with PBE.

Summary:
* symmetry: C2/m
* density of states at the Fermi level: 6.5 states/eV per cell
* E_form (uncorrected): -30.4 eV per formula unit

a b c (Å): 7.809 7.832 7.832
angles (deg): 90.04 119.86 119.86
Sites, in units of the cell vectors:
Sm: 0.500 0.500 0.000
Sm: 0.500 0.000 0.500
Sm: 0.500 0.500 0.500
Tm: 0.500 0.000 0.000
Tm: 0.000 0.500 0.000
Tm: 0.000 0.000 0.000
Tm: 0.000 0.000 0.500
S: 0.492 0.241 0.241
S: 0.000 0.753 0.247
S: 0.990 0.243 0.243
S: 0.500 0.755 0.245
S: 0.500 0.245 0.755
S: 0.010 0.757 0.757
S: 0.000 0.247 0.753
S: 0.508 0.759 0.759

---

[7]
An optimized crystal structure of Sm3Tm5S12, computed with PBE.

Summary:
* symmetry: Ia-3d
* density of states at the Fermi level: 0.0 states/eV per cell
* E_form (uncorrected): -38.2 eV per formula unit

a b c (Å): 13.915 13.915 13.915
angles (deg): 109.47 109.47 109.47
Sites, in units of the cell vectors:
S: 0.720 0.130 0.045
S: 0.325 0.545 0.416
S: 0.955 0.370 0.280
S: 0.545 0.220 0.130
S: 0.590 0.720 0.675
S: 0.955 0.584 0.175
S: 0.325 0.780 0.410
S: 0.084 0.910 0.130
S: 0.584 0.955 0.675
S: 0.720 0.590 0.175
S: 0.780 0.455 0.370
S: 0.825 0.916 0.045
S: 0.130 0.720 0.545
S: 0.370 0.416 0.090
S: 0.090 0.916 0.370
S: 0.410 0.130 0.584
S: 0.090 0.175 0.220
S: 0.455 0.675 0.084
S: 0.825 0.910 0.280
S: 0.130 0.410 0.084
S: 0.370 0.955 0.780
S: 0.584 0.630 0.410
S: 0.916 0.825 0.545
S: 0.780 0.325 0.910
S: 0.416 0.370 0.590
S: 0.084 0.175 0.455
S: 0.220 0.675 0.090
S: 0.175 0.090 0.720
S: 0.630 0.045 0.220
S: 0.870 0.590 0.916
S: 0.545 0.325 0.916
S: 0.590 0.870 0.416
S: 0.910 0.825 0.780
S: 0.910 0.084 0.630
S: 0.870 0.280 0.455
S: 0.175 0.084 0.955
S: 0.630 0.584 0.910
S: 0.416 0.045 0.325
S: 0.280 0.410 0.825
S: 0.220 0.545 0.630
S: 0.916 0.090 0.870
S: 0.675 0.220 0.590
S: 0.455 0.780 0.870
S: 0.045 0.416 0.825
S: 0.410 0.280 0.325
S: 0.045 0.630 0.720
S: 0.675 0.455 0.584
S: 0.280 0.870 0.955
Tm: 0.125 0.375 0.250
Tm: 0.000 0.500 0.000
Tm: 0.000 0.000 0.000
Tm: 0.375 0.250 0.125
Tm: 0.500 0.000 0.500
Tm: 0.500 0.500 0.000
Tm: 0.125 0.750 0.375
Tm: 0.750 0.125 0.875
Tm: 0.750 0.625 0.375
Tm: 0.375 0.125 0.750
Tm: 0.625 0.875 0.250
Tm: 0.500 0.500 0.500
Tm: 0.500 0.000 0.000
Tm: 0.000 0.000 0.500
Tm: 0.250 0.375 0.625
Tm: 0.250 0.875 0.125
Tm: 0.000 0.500 0.500
Tm: 0.875 0.250 0.625
Tm: 0.625 0.750 0.875
Tm: 0.875 0.625 0.750
Sm: 0.750 0.375 0.125
Sm: 0.875 0.750 0.125
Sm: 0.375 0.750 0.625
Sm: 0.250 0.125 0.375
Sm: 0.875 0.125 0.250
Sm: 0.375 0.625 0.250
Sm: 0.625 0.375 0.750
Sm: 0.125 0.875 0.750
Sm: 0.750 0.875 0.625
Sm: 0.625 0.250 0.375
Sm: 0.125 0.250 0.875
Sm: 0.250 0.625 0.875

---

[8]
An optimized crystal structure of Sm2Tm3S4, computed with PBE.

Summary:
* symmetry: P-3m1
* density of states at the Fermi level: 6.2 states/eV per cell
* E_form (uncorrected): -15.7 eV per formula unit

a b c (Å): 3.865 3.865 15.964
angles (deg): 90.01 89.99 120.00
Sites, in units of the cell vectors:
Sm: 0.667 0.333 0.793
Sm: 0.333 0.667 0.207
Tm: 0.666 0.334 0.412
Tm: 0.000 0.000 0.000
Tm: 0.334 0.666 0.588
S: 0.333 0.667 0.904
S: 0.000 0.000 0.315
S: 0.000 0.000 0.685
S: 0.667 0.333 0.096

---

[9]
An optimized crystal structure of SmTmS3, computed with PBE.

Summary:
* symmetry: P2_1/m
* E_form (uncorrected): -10.3 eV per formula unit
* distance to the lowest polymorph of the same formula: 17 meV per atom

a b c (Å): 3.909 7.760 7.800
angles (deg): 94.83 90.00 90.00
Sites, in units of the cell vectors:
Sm: 0.250 0.378 0.229
Sm: 0.750 0.622 0.771
Tm: 0.250 0.852 0.324
Tm: 0.750 0.148 0.676
S: 0.750 0.625 0.387
S: 0.250 0.375 0.613
S: 0.750 0.317 0.977
S: 0.250 0.903 0.679
S: 0.250 0.683 0.023
S: 0.750 0.097 0.321

---

[10]
An optimized crystal structure of Sm2TmS3, computed with PBE.

Summary:
* symmetry: Immm
* density of states at the Fermi level: 2.6 states/eV per cell
* E_form (uncorrected): -11.9 eV per formula unit

a b c (Å): 3.948 5.592 6.858
angles (deg): 114.06 106.73 90.00
Sites, in units of the cell vectors:
Sm: 0.829 0.829 0.158
Sm: 0.171 0.171 0.842
Tm: 0.500 0.500 0.500
S: 0.843 0.343 0.185
S: 0.157 0.657 0.815
S: 0.500 0.000 0.500

---

[11]
An optimized crystal structure of SmTm2S3, computed with PBE.

Summary:
* symmetry: Immm
* density of states at the Fermi level: 2.5 states/eV per cell
* E_form (uncorrected): -11.7 eV per formula unit

a b c (Å): 3.892 5.515 6.763
angles (deg): 114.06 106.72 90.00
Sites, in units of the cell vectors:
Sm: 0.500 0.500 0.500
Tm: 0.839 0.839 0.178
Tm: 0.161 0.161 0.822
S: 0.823 0.323 0.147
S: 0.177 0.677 0.853
S: 0.500 0.000 0.500

---

[12]
An optimized crystal structure of SmTm3S4, computed with PBE.

Summary:
* symmetry: Pm-3m
* density of states at the Fermi level: 4.6 states/eV per cell
* E_form (uncorrected): -15.4 eV per formula unit
* distance to the lowest polymorph of the same formula: 25 meV per atom

a b c (Å): 5.498 5.498 5.498
angles (deg): 90.00 90.00 90.00
Sites, in units of the cell vectors:
Sm: 0.000 0.000 0.000
Tm: 0.000 0.500 0.500
Tm: 0.500 0.000 0.500
Tm: 0.500 0.500 0.000
S: 0.500 0.000 0.000
S: 0.000 0.500 0.000
S: 0.000 0.000 0.500
S: 0.500 0.500 0.500

---

| no. | spin magnetization (μB per formula unit) | theoretical density (g/cm³) |
| --- | --- | --- |
| 1 | 0.00 | 5.5 |
| 2 | 0.00 | 7.3 |
| 3 | 0.00 | 7.4 |
| 4 | 0.00 | 7.9 |
| 5 | 0.00 | 5.6 |
| 6 | 0.00 | 6.8 |
| 7 | 0.00 | 5.4 |
| 8 | 0.00 | 7.5 |
| 9 | 0.00 | 5.9 |
| 10 | 0.00 | 7.2 |
| 11 | 0.00 | 7.7 |
| 12 | 0.00 | 7.8 |